No. 1
A plane-wave DFT calculation with PBE was carried out for a relaxed structure of TaAl3W.

Cell lengths 4.692, 4.692, 4.692 Å; angles 90.00, 90.00, 90.00 degrees
Fractional coordinates of all 5 atoms:
Ta  0.000  0.000  0.000
Al  0.000  0.500  0.500
Al  0.500  0.000  0.500
Al  0.500  0.500  0.000
W  0.500  0.500  0.500



No. 2
A plane-wave DFT calculation with PBE was carried out for a relaxed structure of La5PmTl4.

Cell lengths 8.581, 9.408, 9.027 Å; angles 90.00, 90.00, 90.00 degrees
Fractional coordinates of all 20 atoms:
La  0.005  0.059  0.233
La  0.005  0.441  0.233
La  0.250  0.750  0.166
La  0.495  0.059  0.233
La  0.495  0.441  0.233
La  0.505  0.559  0.767
La  0.505  0.941  0.767
La  0.750  0.250  0.834
La  0.995  0.559  0.767
La  0.995  0.941  0.767
Pm  0.250  0.250  0.584
Pm  0.750  0.750  0.416
Tl  0.085  0.250  0.935
Tl  0.250  0.586  0.494
Tl  0.250  0.914  0.494
Tl  0.415  0.250  0.935
Tl  0.585  0.750  0.065
Tl  0.750  0.086  0.506
Tl  0.750  0.414  0.506
Tl  0.915  0.750  0.065



No. 3
A plane-wave DFT calculation with PBE was carried out for a relaxed structure of PrNd11.

Cell lengths 11.647, 11.647, 3.603 Å; angles 90.00, 90.00, 120.00 degrees
Fractional coordinates of all 12 atoms:
Pr  0.000  0.000  0.000
Nd  0.000  0.500  0.000
Nd  0.174  0.348  0.500
Nd  0.174  0.826  0.500
Nd  0.333  0.667  0.000
Nd  0.348  0.174  0.500
Nd  0.500  0.000  0.000
Nd  0.500  0.500  0.000
Nd  0.652  0.826  0.500
Nd  0.667  0.333  0.000
Nd  0.826  0.174  0.500
Nd  0.826  0.652  0.500



In order of appearance, uncorrected energy = -6.00; -3.97; -4.73 eV per atom.
In order of appearance, density = 7166; 7552; 6778 kg/m3.